# TiNbGa

An optimized crystal structure of TiNbGa (PBE-GGA, Alexandria).

## Properties
* offset from the most stable computed form: 0.00 eV/f.u.
* N(E_F): 1.12 states/eV/f.u.

a b c (Å): 4.5881 4.5881 5.4413
angles (deg): 90.00 90.00 120.01
Last column: nearest neighbours and their distance in Å.
Fractional coordinates of all 6 atoms:
Ga: 0.6666 0.8334 0.2500  5 Ti 2.65-2.72
Ga: 0.3334 0.1666 0.7500  5 Ti 2.65-2.72
Nb: 0.0000 0.5000 0.5000  2 Nb 2.72, 6 Ga 2.98, 6 Ti 2.98
Ti: 0.6667 0.8333 0.7500  5 Ga 2.65-2.72
Nb: 0.0000 0.5000 0.0000  2 Nb 2.72, 6 Ga 2.98, 6 Ti 2.98
Ti: 0.3333 0.1667 0.2500  5 Ga 2.65-2.72